First-principles (PBE) data for Ac6IrRh2I2 after structural relaxation, as listed in the Alexandria database.

Calculated values
- ρ: 7.8 g/cm³
- Total magnetic moment: 0.4 μB/f.u.
- Uncorrected energy: -5.544 eV/atom
- ΔE_f (raw): -0.8795 eV/atom

abc: 7.5904 7.5904 9.0153
angles: 98.15 98.15 120.08
Closest atoms and distances in Å follow each position.
Positions (direct):
Ac 0.0618 0.3944 0.1835  2 Rh 2.97-2.99, 1 Ir 2.98
Ac 0.2705 0.2705 0.8173  1 Ir 2.97, 2 Rh 3.01
Ac 0.3944 0.0618 0.1835  2 Rh 2.97-2.99, 1 Ir 2.98
Ac 0.6056 0.9382 0.8165  2 Rh 2.97-2.99, 1 Ir 2.98
Ac 0.7295 0.7295 0.1827  1 Ir 2.97, 2 Rh 3.01
Ac 0.9382 0.6056 0.8165  2 Rh 2.97-2.99, 1 Ir 2.98
Ir 0.0000 0.0000 0.0000  6 Ac 2.97-2.98
Rh 0.3311 0.6689 0.0000  6 Ac 2.97-3.01
Rh 0.6689 0.3311 0.0000  6 Ac 2.97-3.01
I 0.1661 0.8339 0.5000  6 Ac 3.72-3.73
I 0.8339 0.1661 0.5000  6 Ac 3.72-3.73